First-principles (PBE) data for a relaxed Ir3Cl2 crystal, as listed in Alexandria via LeMat-Bulk.

Results
- ΔE_f (raw): 0.69 eV/atom
- Energy above the lowest structure with this stoichiometry: 0.0 meV per atom
- Total magnetization: 0.0 μB/f.u.
- Symmetry: Fdd2, No. 43
- V: 192 Å³ per cell
- Crystal system: orthorhombic

Cell: 7.516 5.420 7.966 Å, 65.11 40.85 74.04°
Element x y z (fractional)
Ir1 0.000 0.000 0.000
Ir2 0.250 0.250 0.250
Ir3 0.509 0.881 0.307
Ir4 0.881 0.509 0.302
Ir5 0.943 0.948 0.741
Ir6 0.948 0.943 0.369
Cl1 0.007 0.489 0.917
Cl2 0.333 0.663 0.243
Cl3 0.489 0.007 0.587
Cl4 0.663 0.333 0.761